No. 1
# KWNF2 (meta-GGA SCAN, single point on PBEsol structure)
# Final energy: -20.3411 eV per atom
# Symmetry: No. 123
# Formation energy from raw total energies: -1.464 eV/atom
# Magnetic moment: 0.99 μB/f.u.
data_KWNF2
_chemical_formula_sum 'K1 W1 N1 F2'
_symmetry_space_group_name_H-M 'P 1'
_symmetry_Int_Tables_number 1
_symmetry_space_group_name_Hall 'P 1'
_cell_length_a 4.218
_cell_length_b 4.218
_cell_length_c 3.891
_cell_angle_alpha 90.00
_cell_angle_beta 90.00
_cell_angle_gamma 90.00
loop_
_atom_site_label
_atom_site_fract_x
_atom_site_fract_y
_atom_site_fract_z
_atom_site_occupancy
K1 0.000 0.000 0.000 1
W1 0.500 0.500 0.500 1
N1 0.500 0.500 0.000 1
F1 0.000 0.500 0.500 1
F2 0.500 0.000 0.500 1


No. 2
# Cu2IrPtO (meta-GGA SCAN, single point on PBEsol structure)
# Final energy: -34.9376 eV per atom
# Symmetry: No. 123
# Formation energy from raw total energies: 0.647 eV/atom
# Magnetic moment: 0.00 μB/f.u.
data_Cu2IrPtO
_chemical_formula_sum 'Cu2 Ir1 Pt1 O1'
_symmetry_space_group_name_H-M 'P 1'
_symmetry_Int_Tables_number 1
_symmetry_space_group_name_Hall 'P 1'
_cell_length_a 4.725
_cell_length_b 4.725
_cell_length_c 3.527
_cell_angle_alpha 90.00
_cell_angle_beta 90.00
_cell_angle_gamma 90.00
loop_
_atom_site_label
_atom_site_fract_x
_atom_site_fract_y
_atom_site_fract_z
_atom_site_occupancy
Cu1 0.000 0.500 0.000 1
Cu2 0.500 0.000 0.000 1
Ir1 0.000 0.000 0.000 1
Pt1 0.500 0.500 0.500 1
O1 0.000 0.000 0.500 1